Entry 1:
Below is an optimized crystal structure of Rb4NaSn3I12, with properties calculated at the PBE-GGA level.

CIF file:
```
data_Rb4NaSn3I12
_space_group_name_H-M_alt 'I m -3 m'
_space_group_IT_number 229
_space_group_name_Hall '-I 4 2 3'
_cell_length_a 12.3564
_cell_length_b 12.3564
_cell_length_c 12.3564
_cell_angle_alpha 90.00
_cell_angle_beta 90.00
_cell_angle_gamma 90.00
loop_
_atom_site_label
_atom_site_type_symbol
_atom_site_fract_x
_atom_site_fract_y
_atom_site_fract_z
_atom_site_occupancy
Rb1 Rb 0.2500 0.2500 0.2500 1
Na1 Na 0.0000 0.0000 0.0000 1
Sn1 Sn 0.0000 0.0000 0.5000 1
I1 I 0.0000 0.0000 0.2531 1
I2 I 0.0000 0.2500 0.5000 1
```

Summary:
Uncorrected formation energy, meV per atom: -917
DFT total energy, eV/cell: -108.280
Spin magnetization, μB per formula unit: 0.00
Theoretical density, Mg/m³: 3.95

---

Entry 2:
Below is an optimized crystal structure of Rb2NaSnI6, with properties calculated at the PBE-GGA level.

CIF file:
```
data_Rb2NaSnI6
_space_group_name_H-M_alt 'R -3 m'
_space_group_IT_number 166
_space_group_name_Hall '-R 3 2"'
_cell_length_a 8.4519
_cell_length_b 8.4519
_cell_length_c 45.8553
_cell_angle_alpha 90.00
_cell_angle_beta 90.00
_cell_angle_gamma 120.00
loop_
_atom_site_label
_atom_site_type_symbol
_atom_site_fract_x
_atom_site_fract_y
_atom_site_fract_z
_atom_site_occupancy
Rb1 Rb 0.0000 0.0000 0.1354 1
Rb2 Rb 0.0000 0.0000 0.3067 1
Na1 Na 0.0000 0.0000 0.4177 1
Sn1 Sn 0.0000 0.0000 0.0000 1
Sn2 Sn 0.0000 0.0000 0.5000 1
I1 I 0.0046 0.5023 0.2952 1
I2 I 0.0060 0.5030 0.8714 1
```

Summary:
Uncorrected formation energy, meV per atom: -970
DFT total energy, eV/cell: -157.553
Spin magnetization, μB per formula unit: 0.00
Theoretical density, Mg/m³: 3.77

---

Entry 3:
Below is an optimized crystal structure of Rb2NaSrI6, with properties calculated at the PBE-GGA level.

CIF file:
```
data_Rb2NaSrI6
_space_group_name_H-M_alt 'F m -3 m'
_space_group_IT_number 225
_space_group_name_Hall '-F 4 2 3'
_cell_length_a 12.6207
_cell_length_b 12.6207
_cell_length_c 12.6207
_cell_angle_alpha 90.00
_cell_angle_beta 90.00
_cell_angle_gamma 90.00
loop_
_atom_site_label
_atom_site_type_symbol
_atom_site_fract_x
_atom_site_fract_y
_atom_site_fract_z
_atom_site_occupancy
Rb1 Rb 0.2500 0.2500 0.2500 1
Na1 Na 0.0000 0.0000 0.0000 1
Sr1 Sr 0.0000 0.0000 0.5000 1
I1 I 0.0000 0.0000 0.2455 1
```

Summary:
Uncorrected formation energy, meV per atom: -1233
DFT total energy, eV/cell: -106.286
Spin magnetization, μB per formula unit: 0.00
Theoretical density, Mg/m³: 3.45

---

Entry 4:
Below is an optimized crystal structure of Rb2NaSrI4, with properties calculated at the PBE-GGA level.

CIF file:
```
data_Rb2NaSrI4
_space_group_name_H-M_alt 'P 1 2/m 1'
_space_group_IT_number 10
_space_group_name_Hall '-P 2y'
_cell_length_a 8.4169
_cell_length_b 4.8509
_cell_length_c 9.8417
_cell_angle_alpha 90.00
_cell_angle_beta 106.55
_cell_angle_gamma 90.00
loop_
_atom_site_label
_atom_site_type_symbol
_atom_site_fract_x
_atom_site_fract_y
_atom_site_fract_z
_atom_site_occupancy
Rb1 Rb 0.0000 0.0000 0.0000 1
Rb2 Rb 0.5000 0.5000 0.0000 1
Na1 Na 0.0000 0.5000 0.5000 1
Sr1 Sr 0.5000 0.0000 0.5000 1
I1 I 0.2359 0.0000 0.6941 1
I2 I 0.2701 0.5000 0.3039 1
```

Summary:
Uncorrected formation energy, meV per atom: -1286
DFT total energy, eV/cell: -21.424
Spin magnetization, μB per formula unit: 0.01
Theoretical density, Mg/m³: 3.40

---

Entry 5:
Below is an optimized crystal structure of RbNaSrI4, with properties calculated at the PBE-GGA level.

CIF file:
```
data_RbNaSrI4
_space_group_name_H-M_alt 'P 1 21/m 1'
_space_group_IT_number 11
_space_group_name_Hall '-P 2yb'
_cell_length_a 8.4947
_cell_length_b 8.5006
_cell_length_c 10.0210
_cell_angle_alpha 90.00
_cell_angle_beta 106.82
_cell_angle_gamma 90.00
loop_
_atom_site_label
_atom_site_type_symbol
_atom_site_fract_x
_atom_site_fract_y
_atom_site_fract_z
_atom_site_occupancy
Rb1 Rb 0.2168 0.2500 0.0450 1
Na1 Na 0.2687 0.7500 0.3317 1
Sr1 Sr 0.1993 0.2500 0.5509 1
I1 I 0.0043 0.5026 0.7136 1
I2 I 0.4820 0.2500 0.3891 1
I3 I 0.4992 0.7500 0.1565 1
```

Summary:
Uncorrected formation energy, meV per atom: -1458
DFT total energy, eV/cell: -40.751
Spin magnetization, μB per formula unit: 0.00
Theoretical density, Mg/m³: 3.37

---

Entry 6:
Below is an optimized crystal structure of Rb2NaTaI6, with properties calculated at the PBE-GGA level.

CIF file:
```
data_Rb2NaTaI6
_space_group_name_H-M_alt 'F m -3 m'
_space_group_IT_number 225
_space_group_name_Hall '-F 4 2 3'
_cell_length_a 11.9621
_cell_length_b 11.9621
_cell_length_c 11.9621
_cell_angle_alpha 90.00
_cell_angle_beta 90.00
_cell_angle_gamma 90.00
loop_
_atom_site_label
_atom_site_type_symbol
_atom_site_fract_x
_atom_site_fract_y
_atom_site_fract_z
_atom_site_occupancy
Rb1 Rb 0.2500 0.2500 0.2500 1
Na1 Na 0.0000 0.0000 0.0000 1
Ta1 Ta 0.0000 0.0000 0.5000 1
I1 I 0.0000 0.0000 0.2625 1
```

Summary:
Uncorrected formation energy, meV per atom: -887
DFT total energy, eV/cell: -133.102
Spin magnetization, μB per formula unit: 2.00
Theoretical density, Mg/m³: 4.41